--- A ---
A relaxed structure of Gd2YSn. Source: the Alexandria database, functional GGA-PBE.

Structure (POSCAR):
```
Gd2YSn
1.0
3.531 0.000 0.000
-1.765 3.058 0.000
0.000 0.000 36.155
Gd Y Sn
6 3 3
direct
0.000 0.000 0.087
0.000 0.000 0.913
0.333 0.667 0.580
0.333 0.667 0.754
0.667 0.333 0.246
0.667 0.333 0.420
0.000 0.000 0.500
0.333 0.667 0.167
0.667 0.333 0.833
0.000 0.000 0.000
0.333 0.667 0.667
0.667 0.333 0.333
```

Calculated values
**Symmetry**: No. 166
**D(E_F)**: 5.4 states/eV/f.u.

=====

--- B ---
A relaxed structure of Gd2YSn. Source: the Alexandria database, functional GGA-PBE.

Structure (POSCAR):
```
Gd2YSn
1.0
4.823 0.000 0.000
0.000 4.823 0.000
0.000 0.000 4.916
Gd Y Sn
2 1 1
direct
0.000 0.500 0.000
0.500 0.000 0.000
0.000 0.000 0.500
0.500 0.500 0.500
```

Calculated values
**Symmetry**: No. 123
**D(E_F)**: 5.5 states/eV/f.u.

=====

Among the structures above, stability is smallest for A.